Entry from the Alexandria database: an optimized crystal structure of Cr2Ni3SbP6O24 (GGA-PBEsol).

Cell lengths 8.5273, 8.5273, 19.8588 Å; angles 90.00, 90.00, 120.00 degrees
Space group R3 (No. 146, hexagonal axes)
Asymmetric unit:
1 Cr 0.0000 0.0000 0.0000
2 Cr 0.0000 0.0000 0.4949
3 Ni 0.0000 0.0000 0.1373
4 Ni 0.0000 0.0000 0.3530
5 Ni 0.0000 0.0000 0.6344
6 Sb 0.0000 0.0000 0.8516
7 P 0.0070 0.7117 0.2445
8 P 0.0348 0.3653 0.4083
9 O 0.0081 0.8011 0.3093
10 O 0.0104 0.1763 0.4246
11 O 0.0097 0.2075 0.8085
12 O 0.0096 0.8355 0.9230
13 O 0.1362 0.6757 0.8466
14 O 0.1403 0.4647 0.3476
15 O 0.1658 0.4923 0.7331
16 O 0.1660 0.6723 0.2321

E_tot, eV/atom: -7.381
Calculated volume, Å³ per atom: 11.58
D(E_F), states/eV/atom: 0.381
E_form (uncorrected), eV/atom: -1.71